1.
This record from Alexandria describes Dy3Te5H after structural relaxation. The functional is PBE-GGA.

Geometry as POSCAR:
```
Dy3Te5H
1.0
8.370 -0.002 -0.390
2.289 8.051 -0.390
2.647 1.999 8.550
Dy Te H
6 10 2
Direct
0.668 0.668 0.837
0.739 0.739 0.402
0.000 0.000 0.000
0.000 0.000 0.500
0.332 0.332 0.163
0.261 0.261 0.598
0.987 0.372 0.377
0.304 0.696 0.000
0.773 0.773 0.067
0.504 0.504 0.346
0.496 0.496 0.654
0.227 0.227 0.933
0.372 0.987 0.377
0.696 0.304 0.000
0.013 0.628 0.623
0.628 0.013 0.623
0.071 0.071 0.712
0.929 0.929 0.288
```

Summary:
VASP energy	-4.556	eV per atom
magnetic moment	0.0	Bohr magnetons per cell

***

2.
This record from Alexandria describes NaIrRu after structural relaxation. The functional is PBE-GGA.

Geometry as POSCAR:
```
NaIrRu
1.0
9.244 0.000 0.003
3.303 2.063 -2.545
-3.303 2.063 2.545
Ru Ir Na
2 2 2
Direct
0.831 0.607 0.393
0.062 0.005 0.995
0.012 0.738 0.262
0.256 0.131 0.869
0.571 0.510 0.490
0.506 0.238 0.762
```

Summary:
formation energy from the elements	0.474	eV/atom
VASP energy	-6.012	eV per atom
magnetic moment	0.0	Bohr magnetons per cell
energy relative to the lowest polymorph listed for this composition	0.140	eV/atom

***

3.
This record from Alexandria describes EuDyPtPb after structural relaxation. The functional is PBE-GGA.

Geometry as POSCAR:
```
EuDyPtPb
1.0
-0.259 -5.163 -1.003
4.420 -2.841 -0.342
1.193 -3.477 3.769
Pb Eu Pt Dy
1 1 1 1
Direct
0.250 0.250 0.250
0.000 0.000 0.000
0.750 0.750 0.750
0.500 0.500 0.500
```

Summary:
formation energy from the elements	-0.651	eV/atom
VASP energy	-6.807	eV per atom
magnetic moment	6.9	Bohr magnetons per cell

***

4.
This record from Alexandria describes Pr2MnGa3Ir4 after structural relaxation. The functional is PBE-GGA.

Geometry as POSCAR:
```
Pr2MnGa3Ir4
1.0
4.228 0.000 0.000
0.000 4.228 0.000
0.000 0.000 10.605
Pr Mn Ga Ir
2 1 3 4
Direct
0.500 0.000 0.242
0.000 0.500 0.758
0.500 0.500 0.500
0.000 0.000 0.500
0.500 0.000 0.874
0.000 0.500 0.126
0.500 0.500 0.000
0.000 0.000 0.000
0.500 0.000 0.637
0.000 0.500 0.363
```

Summary:
formation energy from the elements	-0.601	eV/atom
VASP energy	-6.926	eV per atom
magnetic moment	4.0	Bohr magnetons per cell

***

5.
This record from Alexandria describes Mg2PPbI after structural relaxation. The functional is PBE-GGA.

Geometry as POSCAR:
```
Mg2PPbI
1.0
5.062 0.000 0.000
0.000 6.249 0.000
0.000 0.000 5.062
Pb I Mg P
1 1 2 1
Direct
0.000 0.500 0.000
0.500 0.500 0.500
0.000 0.000 0.500
0.500 0.000 0.000
0.000 0.000 0.000
```

Summary:
raw formation energy	-0.059	eV per atom
VASP energy	-2.831	eV per atom
magnetic moment	0.0	Bohr magnetons per cell